# CsTlCl2, optimized geometry, DFT PBE-GGA
# Offset from the most stable computed form, eV/atom: 0.019
# Total DFT energy (no corrections), eV per atom: -3.194
data_CsTlCl2
_cell_length_a 4.6933
_cell_length_b 4.6933
_cell_length_c 24.4290
_cell_angle_alpha 90.00
_cell_angle_beta 90.00
_cell_angle_gamma 120.00
_symmetry_space_group_name_H-M 'R 3 m'
_symmetry_Int_Tables_number 160
_symmetry_space_group_name_Hall 'R 3 -2"'
loop_
_atom_site_label
_atom_site_fract_x
_atom_site_fract_y
_atom_site_fract_z
Cs1 0.0000 0.0000 0.0000
Tl1 0.0000 0.0000 0.1685
Cl1 0.0000 0.0000 0.5779
Cl2 0.0000 0.0000 0.7574